[1]
# CaLa3Pm6Dy2 (PBE, relaxed)
# ρ	6.5	Mg/m³
# spin magnetization	0.00	μB per atom
# total energy	-4.496	eV per atom
# calculated formation energy	0.04	eV per atom
data_CaLa3Pm6Dy2
_space_group_name_H-M_alt 'C 1 2/m 1'
_space_group_IT_number 12
_cell_length_a 6.375
_cell_length_b 11.056
_cell_length_c 12.114
_cell_angle_alpha 90.00
_cell_angle_beta 100.10
_cell_angle_gamma 90.00
loop_
_space_group_symop_operation_xyz
'x,y,z'
'-x,-y,-z'
'-x,y,-z'
'x,-y,z'
'x+1/2,y+1/2,z'
'-x+1/2,-y+1/2,-z'
'-x+1/2,y+1/2,-z'
'x+1/2,-y+1/2,z'
loop_
_atom_site_label
_atom_site_fract_x
_atom_site_fract_y
_atom_site_fract_z
Ca1 0.000 0.000 0.000
La1 0.000 0.166 0.500
La2 0.000 0.500 0.500
Pm1 0.243 0.500 0.248
Pm2 0.247 0.330 0.753
Dy1 0.000 0.333 0.000


[2]
# CaLa2Pm2Dy2 (PBE, relaxed)
# ρ	6.3	Mg/m³
# spin magnetization	0.00	μB per atom
# total energy	-4.305	eV per atom
# calculated formation energy	0.06	eV per atom
data_CaLa2Pm2Dy2
_space_group_name_H-M_alt 'C 1 2/m 1'
_space_group_IT_number 12
_cell_length_a 11.634
_cell_length_b 5.227
_cell_length_c 8.188
_cell_angle_alpha 90.00
_cell_angle_beta 98.50
_cell_angle_gamma 90.00
loop_
_space_group_symop_operation_xyz
'x,y,z'
'-x,-y,-z'
'-x,y,-z'
'x,-y,z'
'x+1/2,y+1/2,z'
'-x+1/2,-y+1/2,-z'
'-x+1/2,y+1/2,-z'
'x+1/2,-y+1/2,z'
loop_
_atom_site_label
_atom_site_fract_x
_atom_site_fract_y
_atom_site_fract_z
Ca1 0.000 0.000 0.000
La1 0.145 0.000 0.432
Pm1 0.217 0.500 0.145
Dy1 0.075 0.500 0.707


[3]
# CaLa2Pr6Dy3 (PBE, relaxed)
# ρ	6.5	Mg/m³
# spin magnetization	0.00	μB per atom
# total energy	-4.501	eV per atom
# calculated formation energy	0.03	eV per atom
data_CaLa2Pr6Dy3
_space_group_name_H-M_alt 'C 1 2/m 1'
_space_group_IT_number 12
_cell_length_a 6.396
_cell_length_b 11.086
_cell_length_c 12.157
_cell_angle_alpha 90.00
_cell_angle_beta 100.10
_cell_angle_gamma 90.00
loop_
_space_group_symop_operation_xyz
'x,y,z'
'-x,-y,-z'
'-x,y,-z'
'x,-y,z'
'x+1/2,y+1/2,z'
'-x+1/2,-y+1/2,-z'
'-x+1/2,y+1/2,-z'
'x+1/2,-y+1/2,z'
loop_
_atom_site_label
_atom_site_fract_x
_atom_site_fract_y
_atom_site_fract_z
Ca1 0.000 0.000 0.000
La1 0.000 0.333 0.000
Pr1 0.245 0.331 0.742
Pr2 0.249 0.500 0.258
Dy1 0.000 0.166 0.500
Dy2 0.000 0.500 0.500


[4]
# CaLa2Pr2Dy2 (PBE, relaxed)
# ρ	6.1	Mg/m³
# spin magnetization	0.00	μB per atom
# total energy	-4.320	eV per atom
# calculated formation energy	0.05	eV per atom
data_CaLa2Pr2Dy2
_space_group_name_H-M_alt 'C 1 2/m 1'
_space_group_IT_number 12
_cell_length_a 11.651
_cell_length_b 5.245
_cell_length_c 8.265
_cell_angle_alpha 90.00
_cell_angle_beta 98.62
_cell_angle_gamma 90.00
loop_
_space_group_symop_operation_xyz
'x,y,z'
'-x,-y,-z'
'-x,y,-z'
'x,-y,z'
'x+1/2,y+1/2,z'
'-x+1/2,-y+1/2,-z'
'-x+1/2,y+1/2,-z'
'x+1/2,-y+1/2,z'
loop_
_atom_site_label
_atom_site_fract_x
_atom_site_fract_y
_atom_site_fract_z
Ca1 0.000 0.000 0.000
La1 0.144 0.000 0.432
Pr1 0.217 0.500 0.146
Dy1 0.075 0.500 0.706


[5]
# CaLaPr6Dy2 (PBE, relaxed)
# ρ	6.2	Mg/m³
# spin magnetization	0.00	μB per atom
# total energy	-4.356	eV per atom
# calculated formation energy	0.12	eV per atom
data_CaLaPr6Dy2
_space_group_name_H-M_alt 'C 1 2/c 1'
_space_group_IT_number 15
_cell_length_a 9.351
_cell_length_b 15.596
_cell_length_c 10.031
_cell_angle_alpha 90.00
_cell_angle_beta 98.03
_cell_angle_gamma 90.00
loop_
_space_group_symop_operation_xyz
'x,y,z'
'-x,-y,-z'
'-x,y,-z+1/2'
'x,-y,z+1/2'
'x+1/2,y+1/2,z'
'-x+1/2,-y+1/2,-z'
'-x+1/2,y+1/2,-z+1/2'
'x+1/2,-y+1/2,z+1/2'
loop_
_atom_site_label
_atom_site_fract_x
_atom_site_fract_y
_atom_site_fract_z
Ca1 0.000 0.098 0.250
La1 0.000 0.472 0.750
Pr1 0.065 0.323 0.447
Pr2 0.100 0.106 0.620
Pr3 0.206 0.269 0.824
Dy1 0.247 0.450 0.046


[6]
# Ca2LaDyS4 (PBE, relaxed)
# ρ	4.6	Mg/m³
# spin magnetization	0.00	μB per atom
# formation energy (no corrections)	-16.56	eV/f.u.
# total energy	-5.826	eV per atom
data_Ca2LaDyS4
_space_group_name_H-M_alt 'P 1 2/m 1'
_space_group_IT_number 10
_cell_length_a 6.960
_cell_length_b 4.009
_cell_length_c 7.036
_cell_angle_alpha 90.00
_cell_angle_beta 109.15
_cell_angle_gamma 90.00
loop_
_space_group_symop_operation_xyz
'x,y,z'
'-x,-y,-z'
'-x,y,-z'
'x,-y,z'
loop_
_atom_site_label
_atom_site_fract_x
_atom_site_fract_y
_atom_site_fract_z
Ca1 0.000 0.000 0.000
Ca2 0.500 0.500 0.000
La1 0.000 0.500 0.500
Dy1 0.500 0.000 0.500
S1 0.260 0.500 0.251
S2 0.262 0.000 0.756


Copy entry 4 word for word.
# CaLa2Pr2Dy2 (PBE, relaxed)
# ρ	6.1	Mg/m³
# spin magnetization	0.00	μB per atom
# total energy	-4.320	eV per atom
# calculated formation energy	0.05	eV per atom
data_CaLa2Pr2Dy2
_space_group_name_H-M_alt 'C 1 2/m 1'
_space_group_IT_number 12
_cell_length_a 11.651
_cell_length_b 5.245
_cell_length_c 8.265
_cell_angle_alpha 90.00
_cell_angle_beta 98.62
_cell_angle_gamma 90.00
loop_
_space_group_symop_operation_xyz
'x,y,z'
'-x,-y,-z'
'-x,y,-z'
'x,-y,z'
'x+1/2,y+1/2,z'
'-x+1/2,-y+1/2,-z'
'-x+1/2,y+1/2,-z'
'x+1/2,-y+1/2,z'
loop_
_atom_site_label
_atom_site_fract_x
_atom_site_fract_y
_atom_site_fract_z
Ca1 0.000 0.000 0.000
La1 0.144 0.000 0.432
Pr1 0.217 0.500 0.146
Dy1 0.075 0.500 0.706


Q: Which formula does entry 4 have?
A: CaLa2Pr2Dy2


Repeat the first record exactly.
# CaLa3Pm6Dy2 (PBE, relaxed)
# ρ	6.5	Mg/m³
# spin magnetization	0.00	μB per atom
# total energy	-4.496	eV per atom
# calculated formation energy	0.04	eV per atom
data_CaLa3Pm6Dy2
_space_group_name_H-M_alt 'C 1 2/m 1'
_space_group_IT_number 12
_cell_length_a 6.375
_cell_length_b 11.056
_cell_length_c 12.114
_cell_angle_alpha 90.00
_cell_angle_beta 100.10
_cell_angle_gamma 90.00
loop_
_space_group_symop_operation_xyz
'x,y,z'
'-x,-y,-z'
'-x,y,-z'
'x,-y,z'
'x+1/2,y+1/2,z'
'-x+1/2,-y+1/2,-z'
'-x+1/2,y+1/2,-z'
'x+1/2,-y+1/2,z'
loop_
_atom_site_label
_atom_site_fract_x
_atom_site_fract_y
_atom_site_fract_z
Ca1 0.000 0.000 0.000
La1 0.000 0.166 0.500
La2 0.000 0.500 0.500
Pm1 0.243 0.500 0.248
Pm2 0.247 0.330 0.753
Dy1 0.000 0.333 0.000